Entry from the Alexandria database: an optimized crystal structure of Pr2TlNiO6 (PBE with a Hubbard U).

a = 5.655 Å, b = 5.804 Å, c = 9.759 Å
α = 90.00°, β = 121.09°, γ = 90.00°
Atoms (fractional coordinates):
Pr  0.216  0.060  0.241
Pr  0.216  0.440  0.741
Pr  0.784  0.560  0.259
Pr  0.784  0.940  0.759
Tl  0.500  0.000  0.000
Tl  0.500  0.500  0.500
Ni  0.000  0.000  0.500
Ni  0.000  0.500  0.000
O  0.118  0.222  0.939
O  0.118  0.278  0.439
O  0.200  0.688  0.931
O  0.200  0.812  0.431
O  0.366  0.041  0.746
O  0.366  0.459  0.246
O  0.634  0.541  0.754
O  0.634  0.959  0.254
O  0.800  0.188  0.569
O  0.800  0.312  0.069
O  0.882  0.722  0.561
O  0.882  0.778  0.061

DFT total energy, eV per atom: -6.404